No. 1
# HfBeCuAs (PBE, optimized geometry)
data_HfBeCuAs
_chemical_formula_sum 'Hf4 Be4 Cu4 As4'
_symmetry_space_group_name_H-M 'F -4 3 m'
_symmetry_Int_Tables_number 216
_symmetry_space_group_name_Hall 'F -4 2 3'
_cell_length_a 6.2489
_cell_length_b 6.2489
_cell_length_c 6.2489
_cell_angle_alpha 90.00
_cell_angle_beta 90.00
_cell_angle_gamma 90.00
loop_
_atom_site_label
_atom_site_type_symbol
_atom_site_fract_x
_atom_site_fract_y
_atom_site_fract_z
_atom_site_occupancy
Hf1 Hf 0.0000 0.0000 0.0000 1
Be1 Be 0.2500 0.2500 0.2500 1
Cu1 Cu 0.2500 0.2500 0.7500 1
As1 As 0.0000 0.0000 0.5000 1
# Spin magnetization in Bohr magnetons per cell: 0.001
# Energy above the lowest structure with this stoichiometry in eV/f.u.: 0.47

***

No. 2
# HfBeCuAs (PBE, optimized geometry)
data_HfBeCuAs
_chemical_formula_sum 'Hf4 Be4 Cu4 As4'
_symmetry_space_group_name_H-M 'F -4 3 m'
_symmetry_Int_Tables_number 216
_symmetry_space_group_name_Hall 'F -4 2 3'
_cell_length_a 6.2405
_cell_length_b 6.2405
_cell_length_c 6.2405
_cell_angle_alpha 90.00
_cell_angle_beta 90.00
_cell_angle_gamma 90.00
loop_
_atom_site_label
_atom_site_type_symbol
_atom_site_fract_x
_atom_site_fract_y
_atom_site_fract_z
_atom_site_occupancy
Hf1 Hf 0.0000 0.0000 0.0000 1
Be1 Be 0.2500 0.2500 0.7500 1
Cu1 Cu 0.0000 0.0000 0.5000 1
As1 As 0.2500 0.2500 0.2500 1
# Spin magnetization in Bohr magnetons per cell: 0.035
# Energy above the lowest structure with this stoichiometry in eV/f.u.: 0.00

***

No. 3
# BeCuHgAs (PBE, optimized geometry)
data_BeCuHgAs
_chemical_formula_sum 'Be4 Cu4 Hg4 As4'
_symmetry_space_group_name_H-M 'F -4 3 m'
_symmetry_Int_Tables_number 216
_symmetry_space_group_name_Hall 'F -4 2 3'
_cell_length_a 6.4174
_cell_length_b 6.4174
_cell_length_c 6.4174
_cell_angle_alpha 90.00
_cell_angle_beta 90.00
_cell_angle_gamma 90.00
loop_
_atom_site_label
_atom_site_type_symbol
_atom_site_fract_x
_atom_site_fract_y
_atom_site_fract_z
_atom_site_occupancy
Be1 Be 0.0000 0.0000 0.0000 1
Cu1 Cu 0.2500 0.2500 0.7500 1
Hg1 Hg 0.2500 0.2500 0.2500 1
As1 As 0.0000 0.0000 0.5000 1
# Energy above the lowest structure with this stoichiometry in eV/f.u.: 0.61

***

No. 4
# BeCuHgAs (PBE, optimized geometry)
data_BeCuHgAs
_chemical_formula_sum 'Be4 Cu4 Hg4 As4'
_symmetry_space_group_name_H-M 'F -4 3 m'
_symmetry_Int_Tables_number 216
_symmetry_space_group_name_Hall 'F -4 2 3'
_cell_length_a 6.3431
_cell_length_b 6.3431
_cell_length_c 6.3431
_cell_angle_alpha 90.00
_cell_angle_beta 90.00
_cell_angle_gamma 90.00
loop_
_atom_site_label
_atom_site_type_symbol
_atom_site_fract_x
_atom_site_fract_y
_atom_site_fract_z
_atom_site_occupancy
Be1 Be 0.0000 0.0000 0.0000 1
Cu1 Cu 0.0000 0.0000 0.5000 1
Hg1 Hg 0.2500 0.2500 0.7500 1
As1 As 0.2500 0.2500 0.2500 1
# Energy above the lowest structure with this stoichiometry in eV/f.u.: 0.00

***

No. 5
# BeCuAsIr (PBE, optimized geometry)
data_BeCuAsIr
_chemical_formula_sum 'Be4 Cu4 As4 Ir4'
_symmetry_space_group_name_H-M 'F -4 3 m'
_symmetry_Int_Tables_number 216
_symmetry_space_group_name_Hall 'F -4 2 3'
_cell_length_a 5.9281
_cell_length_b 5.9281
_cell_length_c 5.9281
_cell_angle_alpha 90.00
_cell_angle_beta 90.00
_cell_angle_gamma 90.00
loop_
_atom_site_label
_atom_site_type_symbol
_atom_site_fract_x
_atom_site_fract_y
_atom_site_fract_z
_atom_site_occupancy
Be1 Be 0.0000 0.0000 0.0000 1
Cu1 Cu 0.2500 0.2500 0.7500 1
As1 As 0.0000 0.0000 0.5000 1
Ir1 Ir 0.2500 0.2500 0.2500 1
# Spin magnetization in Bohr magnetons per cell: 0.012
# Energy above the lowest structure with this stoichiometry in eV/f.u.: 0.00

***

No. 6
# BeCuAsIr (PBE, optimized geometry)
data_BeCuAsIr
_chemical_formula_sum 'Be4 Cu4 As4 Ir4'
_symmetry_space_group_name_H-M 'F -4 3 m'
_symmetry_Int_Tables_number 216
_symmetry_space_group_name_Hall 'F -4 2 3'
_cell_length_a 5.9699
_cell_length_b 5.9699
_cell_length_c 5.9699
_cell_angle_alpha 90.00
_cell_angle_beta 90.00
_cell_angle_gamma 90.00
loop_
_atom_site_label
_atom_site_type_symbol
_atom_site_fract_x
_atom_site_fract_y
_atom_site_fract_z
_atom_site_occupancy
Be1 Be 0.0000 0.0000 0.0000 1
Cu1 Cu 0.0000 0.0000 0.5000 1
As1 As 0.2500 0.2500 0.2500 1
Ir1 Ir 0.2500 0.2500 0.7500 1
# Spin magnetization in Bohr magnetons per cell: 0.015
# Energy above the lowest structure with this stoichiometry in eV/f.u.: 0.90

***

No. 7
# LiBeCuAs (PBE, optimized geometry)
data_LiBeCuAs
_chemical_formula_sum 'Li4 Be4 Cu4 As4'
_symmetry_space_group_name_H-M 'F -4 3 m'
_symmetry_Int_Tables_number 216
_symmetry_space_group_name_Hall 'F -4 2 3'
_cell_length_a 5.8812
_cell_length_b 5.8812
_cell_length_c 5.8812
_cell_angle_alpha 90.00
_cell_angle_beta 90.00
_cell_angle_gamma 90.00
loop_
_atom_site_label
_atom_site_type_symbol
_atom_site_fract_x
_atom_site_fract_y
_atom_site_fract_z
_atom_site_occupancy
Li1 Li 0.0000 0.0000 0.0000 1
Be1 Be 0.2500 0.2500 0.2500 1
Cu1 Cu 0.0000 0.0000 0.5000 1
As1 As 0.2500 0.2500 0.7500 1
# Energy above the lowest structure with this stoichiometry in eV/f.u.: 0.29

***

No. 8
# Li2BeCuAs2 (PBE, optimized geometry)
data_Li2BeCuAs2
_chemical_formula_sum 'Li2 Be1 Cu1 As2'
_symmetry_space_group_name_H-M 'P -4 m 2'
_symmetry_Int_Tables_number 115
_cell_length_a 3.7252
_cell_length_b 3.7252
_cell_length_c 6.3317
_cell_angle_alpha 90.00
_cell_angle_beta 90.00
_cell_angle_gamma 90.00
loop_
_symmetry_equiv_pos_as_xyz
'x,y,z'
'y,-x,-z'
'-x,-y,z'
'-y,x,-z'
'-x,y,z'
'-y,-x,-z'
'x,-y,z'
'y,x,-z'
loop_
_atom_site_label
_atom_site_type_symbol
_atom_site_fract_x
_atom_site_fract_y
_atom_site_fract_z
_atom_site_occupancy
Li1 Li 0.0000 0.5000 0.1591 1
Be1 Be 0.0000 0.0000 0.5000 1
Cu1 Cu 0.5000 0.5000 0.5000 1
As1 As 0.0000 0.5000 0.7423 1
# E_tot in eV per cell: -23.1

***

No. 9
# LiBeCuAs (PBE, optimized geometry)
data_LiBeCuAs
_chemical_formula_sum 'Li4 Be4 Cu4 As4'
_symmetry_space_group_name_H-M 'F -4 3 m'
_symmetry_Int_Tables_number 216
_symmetry_space_group_name_Hall 'F -4 2 3'
_cell_length_a 5.8253
_cell_length_b 5.8253
_cell_length_c 5.8253
_cell_angle_alpha 90.00
_cell_angle_beta 90.00
_cell_angle_gamma 90.00
loop_
_atom_site_label
_atom_site_type_symbol
_atom_site_fract_x
_atom_site_fract_y
_atom_site_fract_z
_atom_site_occupancy
Li1 Li 0.0000 0.0000 0.0000 1
Be1 Be 0.0000 0.0000 0.5000 1
Cu1 Cu 0.2500 0.2500 0.7500 1
As1 As 0.2500 0.2500 0.2500 1
# Energy above the lowest structure with this stoichiometry in eV/f.u.: 0.00

***

No. 10
# LiBeCu4As2 (PBE, optimized geometry)
data_LiBeCu4As2
_chemical_formula_sum 'Li1 Be1 Cu4 As2'
_symmetry_space_group_name_H-M 'P 4/m m m'
_symmetry_Int_Tables_number 123
_symmetry_space_group_name_Hall '-P 4 2'
_cell_length_a 3.9952
_cell_length_b 3.9952
_cell_length_c 6.4435
_cell_angle_alpha 90.00
_cell_angle_beta 90.00
_cell_angle_gamma 90.00
loop_
_atom_site_label
_atom_site_type_symbol
_atom_site_fract_x
_atom_site_fract_y
_atom_site_fract_z
_atom_site_occupancy
Li1 Li 0.0000 0.0000 0.0000 1
Be1 Be 0.5000 0.5000 0.5000 1
Cu1 Cu 0.0000 0.5000 0.2682 1
As1 As 0.0000 0.0000 0.5000 1
As2 As 0.5000 0.5000 0.0000 1
# E_tot in eV per cell: -29.6

***

No. 11
# BeCuNiAs (PBE, optimized geometry)
data_BeCuNiAs
_chemical_formula_sum 'Be4 Cu4 Ni4 As4'
_symmetry_space_group_name_H-M 'F -4 3 m'
_symmetry_Int_Tables_number 216
_symmetry_space_group_name_Hall 'F -4 2 3'
_cell_length_a 5.7316
_cell_length_b 5.7316
_cell_length_c 5.7316
_cell_angle_alpha 90.00
_cell_angle_beta 90.00
_cell_angle_gamma 90.00
loop_
_atom_site_label
_atom_site_type_symbol
_atom_site_fract_x
_atom_site_fract_y
_atom_site_fract_z
_atom_site_occupancy
Be1 Be 0.0000 0.0000 0.0000 1
Cu1 Cu 0.2500 0.2500 0.7500 1
Ni1 Ni 0.2500 0.2500 0.2500 1
As1 As 0.0000 0.0000 0.5000 1
# Spin magnetization in Bohr magnetons per cell: 0.014
# Energy above the lowest structure with this stoichiometry in eV/f.u.: 0.00

***

No. 12
# BeCuNiAs (PBE, optimized geometry)
data_BeCuNiAs
_chemical_formula_sum 'Be4 Cu4 Ni4 As4'
_symmetry_space_group_name_H-M 'F -4 3 m'
_symmetry_Int_Tables_number 216
_symmetry_space_group_name_Hall 'F -4 2 3'
_cell_length_a 5.7722
_cell_length_b 5.7722
_cell_length_c 5.7722
_cell_angle_alpha 90.00
_cell_angle_beta 90.00
_cell_angle_gamma 90.00
loop_
_atom_site_label
_atom_site_type_symbol
_atom_site_fract_x
_atom_site_fract_y
_atom_site_fract_z
_atom_site_occupancy
Be1 Be 0.0000 0.0000 0.0000 1
Cu1 Cu 0.2500 0.2500 0.7500 1
Ni1 Ni 0.0000 0.0000 0.5000 1
As1 As 0.2500 0.2500 0.2500 1
# Spin magnetization in Bohr magnetons per cell: 0.000
# Energy above the lowest structure with this stoichiometry in eV/f.u.: 0.29

***

No. 13
# BeCuAsOs (PBE, optimized geometry)
data_BeCuAsOs
_chemical_formula_sum 'Be4 Cu4 As4 Os4'
_symmetry_space_group_name_H-M 'F -4 3 m'
_symmetry_Int_Tables_number 216
_symmetry_space_group_name_Hall 'F -4 2 3'
_cell_length_a 5.9549
_cell_length_b 5.9549
_cell_length_c 5.9549
_cell_angle_alpha 90.00
_cell_angle_beta 90.00
_cell_angle_gamma 90.00
loop_
_atom_site_label
_atom_site_type_symbol
_atom_site_fract_x
_atom_site_fract_y
_atom_site_fract_z
_atom_site_occupancy
Be1 Be 0.0000 0.0000 0.0000 1
Cu1 Cu 0.0000 0.0000 0.5000 1
As1 As 0.2500 0.2500 0.2500 1
Os1 Os 0.2500 0.2500 0.7500 1
# Spin magnetization in Bohr magnetons per cell: 0.290
# Energy above the lowest structure with this stoichiometry in eV/f.u.: 1.27

***

No. 14
# BeCuAsOs (PBE, optimized geometry)
data_BeCuAsOs
_chemical_formula_sum 'Be4 Cu4 As4 Os4'
_symmetry_space_group_name_H-M 'F -4 3 m'
_symmetry_Int_Tables_number 216
_symmetry_space_group_name_Hall 'F -4 2 3'
_cell_length_a 5.8938
_cell_length_b 5.8938
_cell_length_c 5.8938
_cell_angle_alpha 90.00
_cell_angle_beta 90.00
_cell_angle_gamma 90.00
loop_
_atom_site_label
_atom_site_type_symbol
_atom_site_fract_x
_atom_site_fract_y
_atom_site_fract_z
_atom_site_occupancy
Be1 Be 0.0000 0.0000 0.0000 1
Cu1 Cu 0.2500 0.2500 0.7500 1
As1 As 0.0000 0.0000 0.5000 1
Os1 Os 0.2500 0.2500 0.2500 1
# Spin magnetization in Bohr magnetons per cell: 0.010
# Energy above the lowest structure with this stoichiometry in eV/f.u.: 0.00

***

No. 15
# BeCuAsPt (PBE, optimized geometry)
data_BeCuAsPt
_chemical_formula_sum 'Be4 Cu4 As4 Pt4'
_symmetry_space_group_name_H-M 'F -4 3 m'
_symmetry_Int_Tables_number 216
_symmetry_space_group_name_Hall 'F -4 2 3'
_cell_length_a 5.9969
_cell_length_b 5.9969
_cell_length_c 5.9969
_cell_angle_alpha 90.00
_cell_angle_beta 90.00
_cell_angle_gamma 90.00
loop_
_atom_site_label
_atom_site_type_symbol
_atom_site_fract_x
_atom_site_fract_y
_atom_site_fract_z
_atom_site_occupancy
Be1 Be 0.0000 0.0000 0.0000 1
Cu1 Cu 0.2500 0.2500 0.7500 1
As1 As 0.0000 0.0000 0.5000 1
Pt1 Pt 0.2500 0.2500 0.2500 1
# Spin magnetization in Bohr magnetons per cell: 0.002
# Energy above the lowest structure with this stoichiometry in eV/f.u.: 0.00

***

No. 16
# BeCuAsPt (PBE, optimized geometry)
data_BeCuAsPt
_chemical_formula_sum 'Be4 Cu4 As4 Pt4'
_symmetry_space_group_name_H-M 'F -4 3 m'
_symmetry_Int_Tables_number 216
_symmetry_space_group_name_Hall 'F -4 2 3'
_cell_length_a 6.0151
_cell_length_b 6.0151
_cell_length_c 6.0151
_cell_angle_alpha 90.00
_cell_angle_beta 90.00
_cell_angle_gamma 90.00
loop_
_atom_site_label
_atom_site_type_symbol
_atom_site_fract_x
_atom_site_fract_y
_atom_site_fract_z
_atom_site_occupancy
Be1 Be 0.0000 0.0000 0.0000 1
Cu1 Cu 0.0000 0.0000 0.5000 1
As1 As 0.2500 0.2500 0.2500 1
Pt1 Pt 0.2500 0.2500 0.7500 1
# Spin magnetization in Bohr magnetons per cell: 0.005
# Energy above the lowest structure with this stoichiometry in eV/f.u.: 0.32

***

No. 17
# ScBeCuAs (PBE, optimized geometry)
data_ScBeCuAs
_chemical_formula_sum 'Sc4 Be4 Cu4 As4'
_symmetry_space_group_name_H-M 'F -4 3 m'
_symmetry_Int_Tables_number 216
_symmetry_space_group_name_Hall 'F -4 2 3'
_cell_length_a 6.2303
_cell_length_b 6.2303
_cell_length_c 6.2303
_cell_angle_alpha 90.00
_cell_angle_beta 90.00
_cell_angle_gamma 90.00
loop_
_atom_site_label
_atom_site_type_symbol
_atom_site_fract_x
_atom_site_fract_y
_atom_site_fract_z
_atom_site_occupancy
Sc1 Sc 0.0000 0.0000 0.0000 1
Be1 Be 0.0000 0.0000 0.5000 1
Cu1 Cu 0.2500 0.2500 0.2500 1
As1 As 0.2500 0.2500 0.7500 1
# Spin magnetization in Bohr magnetons per cell: 0.000
# Energy above the lowest structure with this stoichiometry in eV/f.u.: 0.00

***

No. 18
# ScBeCu4As2 (PBE, optimized geometry)
data_ScBeCu4As2
_chemical_formula_sum 'Sc1 Be1 Cu4 As2'
_symmetry_space_group_name_H-M 'P 4/m m m'
_symmetry_Int_Tables_number 123
_symmetry_space_group_name_Hall '-P 4 2'
_cell_length_a 3.9251
_cell_length_b 3.9251
_cell_length_c 7.1201
_cell_angle_alpha 90.00
_cell_angle_beta 90.00
_cell_angle_gamma 90.00
loop_
_atom_site_label
_atom_site_type_symbol
_atom_site_fract_x
_atom_site_fract_y
_atom_site_fract_z
_atom_site_occupancy
Sc1 Sc 0.0000 0.0000 0.0000 1
Be1 Be 0.5000 0.5000 0.5000 1
Cu1 Cu 0.0000 0.5000 0.2859 1
As1 As 0.0000 0.0000 0.5000 1
As2 As 0.5000 0.5000 0.0000 1
# E_tot in eV per cell: -34.9
# Spin magnetization in Bohr magnetons per cell: 0.004

***

No. 19
# ScBeCuAs (PBE, optimized geometry)
data_ScBeCuAs
_chemical_formula_sum 'Sc4 Be4 Cu4 As4'
_symmetry_space_group_name_H-M 'F -4 3 m'
_symmetry_Int_Tables_number 216
_symmetry_space_group_name_Hall 'F -4 2 3'
_cell_length_a 6.2521
_cell_length_b 6.2521
_cell_length_c 6.2521
_cell_angle_alpha 90.00
_cell_angle_beta 90.00
_cell_angle_gamma 90.00
loop_
_atom_site_label
_atom_site_type_symbol
_atom_site_fract_x
_atom_site_fract_y
_atom_site_fract_z
_atom_site_occupancy
Sc1 Sc 0.0000 0.0000 0.0000 1
Be1 Be 0.2500 0.2500 0.7500 1
Cu1 Cu 0.2500 0.2500 0.2500 1
As1 As 0.0000 0.0000 0.5000 1
# Spin magnetization in Bohr magnetons per cell: 0.006
# Energy above the lowest structure with this stoichiometry in eV/f.u.: 0.44

***

No. 20
# ScBeCuAs (PBE, optimized geometry)
data_ScBeCuAs
_chemical_formula_sum 'Sc4 Be4 Cu4 As4'
_symmetry_space_group_name_H-M 'F -4 3 m'
_symmetry_Int_Tables_number 216
_symmetry_space_group_name_Hall 'F -4 2 3'
_cell_length_a 6.2197
_cell_length_b 6.2197
_cell_length_c 6.2197
_cell_angle_alpha 90.00
_cell_angle_beta 90.00
_cell_angle_gamma 90.00
loop_
_atom_site_label
_atom_site_type_symbol
_atom_site_fract_x
_atom_site_fract_y
_atom_site_fract_z
_atom_site_occupancy
Sc1 Sc 0.0000 0.0000 0.0000 1
Be1 Be 0.2500 0.2500 0.7500 1
Cu1 Cu 0.0000 0.0000 0.5000 1
As1 As 0.2500 0.2500 0.2500 1
# Spin magnetization in Bohr magnetons per cell: 0.001
# Energy above the lowest structure with this stoichiometry in eV/f.u.: 0.13